No. 1
A geometry-optimized FePd8Au6 structure, computed with GGA-PBE.

Calculated values
Energy above the lowest structure with this stoichiometry   0 meV/atom
M_tot   4.7 μB per formula unit

Geometry as CIF:
```
data_FePd8Au6
_chemical_formula_sum 'Fe3 Pd24 Au18'
_cell_length_a 7.7677
_cell_length_b 7.7677
_cell_length_c 14.5348
_cell_angle_alpha 90.00
_cell_angle_beta 90.00
_cell_angle_gamma 120.00
_symmetry_space_group_name_H-M 'R -3'
_symmetry_Int_Tables_number 148
_symmetry_space_group_name_Hall '-R 3'
loop_
_atom_site_label
_atom_site_fract_x
_atom_site_fract_y
_atom_site_fract_z
Fe1 0.0000 0.0000 0.0000
Pd1 0.0000 0.0000 0.2438
Pd2 0.0461 0.2703 0.9059
Au1 0.0315 0.2334 0.4102
```

No. 2
A geometry-optimized FePd3Au structure, computed with GGA-PBE.

Calculated values
Energy above the lowest structure with this stoichiometry   789 meV/atom
M_tot   4.4 μB per formula unit

Geometry as CIF:
```
data_FePd3Au
_chemical_formula_sum 'Fe1 Pd3 Au1'
_cell_length_a 4.587
_cell_length_b 4.587
_cell_length_c 4.587
_cell_angle_alpha 90.00
_cell_angle_beta 90.00
_cell_angle_gamma 90.00
_symmetry_space_group_name_H-M 'P m -3 m'
_symmetry_Int_Tables_number 221
_symmetry_space_group_name_Hall '-P 4 2 3'
loop_
_atom_site_label
_atom_site_fract_x
_atom_site_fract_y
_atom_site_fract_z
Fe1 0.000 0.000 0.000
Pd1 0.000 0.000 0.500
Au1 0.500 0.500 0.500
```

No. 3
A geometry-optimized Fe2Pd2Au structure, computed with GGA-PBE.

Calculated values
Energy above the lowest structure with this stoichiometry   80 meV/atom
M_tot   6.8 μB per formula unit

Geometry as CIF:
```
data_Fe2Pd2Au
_chemical_formula_sum 'Fe4 Pd4 Au2'
_cell_length_a 7.435
_cell_length_b 7.435
_cell_length_c 2.762
_cell_angle_alpha 90.00
_cell_angle_beta 90.00
_cell_angle_gamma 90.00
_symmetry_space_group_name_H-M 'P 4/m b m'
_symmetry_Int_Tables_number 127
_symmetry_space_group_name_Hall '-P 4 2ab'
loop_
_atom_site_label
_atom_site_fract_x
_atom_site_fract_y
_atom_site_fract_z
Fe1 0.164 0.336 0.000
Pd1 0.132 0.632 0.500
Au1 0.000 0.000 0.500
```

No. 4
A geometry-optimized FePd3Au structure, computed with GGA-PBE.

Calculated values
Energy above the lowest structure with this stoichiometry   133 meV/atom
M_tot   4.1 μB per formula unit

Geometry as CIF:
```
data_FePd3Au
_chemical_formula_sum 'Fe2 Pd6 Au2'
_cell_length_a 2.773
_cell_length_b 8.329
_cell_length_c 7.388
_cell_angle_alpha 90.00
_cell_angle_beta 90.00
_cell_angle_gamma 90.00
_symmetry_space_group_name_H-M 'P m m n'
_symmetry_Int_Tables_number 59
loop_
_symmetry_equiv_pos_as_xyz
'x,y,z'
'-x,-y,-z'
'-x+1/2,-y+1/2,z'
'x+1/2,y+1/2,-z'
'x+1/2,-y,-z'
'-x+1/2,y,z'
'-x,y+1/2,-z'
'x,-y+1/2,z'
loop_
_atom_site_label
_atom_site_fract_x
_atom_site_fract_y
_atom_site_fract_z
Fe1 0.250 0.250 0.010
Pd1 0.250 0.526 0.834
Pd2 0.250 0.750 0.286
Au1 0.250 0.250 0.390
```

No. 5
A geometry-optimized FePd5Au4 structure, computed with GGA-PBE.

Calculated values
Energy above the lowest structure with this stoichiometry   0 meV/atom
M_tot   3.7 μB per formula unit

Geometry as CIF:
```
data_FePd5Au4
_chemical_formula_sum 'Fe1 Pd5 Au4'
_cell_length_a 2.844
_cell_length_b 2.844
_cell_length_c 19.942
_cell_angle_alpha 90.00
_cell_angle_beta 90.00
_cell_angle_gamma 90.00
_symmetry_space_group_name_H-M 'P 4/m m m'
_symmetry_Int_Tables_number 123
_symmetry_space_group_name_Hall '-P 4 2'
loop_
_atom_site_label
_atom_site_fract_x
_atom_site_fract_y
_atom_site_fract_z
Fe1 0.000 0.000 0.000
Pd1 0.500 0.500 0.086
Pd2 0.500 0.500 0.294
Pd3 0.500 0.500 0.500
Au1 0.000 0.000 0.191
Au2 0.000 0.000 0.397
```

No. 6
A geometry-optimized Fe2Pd7Au2 structure, computed with GGA-PBE.

Calculated values
Energy above the lowest structure with this stoichiometry   78 meV/atom
M_tot   8.4 μB per formula unit

Geometry as CIF:
```
data_Fe2Pd7Au2
_chemical_formula_sum 'Fe4 Pd14 Au4'
_cell_length_a 5.271
_cell_length_b 9.607
_cell_length_c 7.144
_cell_angle_alpha 90.00
_cell_angle_beta 101.85
_cell_angle_gamma 90.00
_symmetry_space_group_name_H-M 'C 1 2/m 1'
_symmetry_Int_Tables_number 12
_symmetry_space_group_name_Hall '-C 2y'
loop_
_atom_site_label
_atom_site_fract_x
_atom_site_fract_y
_atom_site_fract_z
Fe1 0.000 0.240 0.000
Pd1 0.000 0.500 0.500
Pd2 0.197 0.271 0.680
Pd3 0.198 0.500 0.912
Au1 0.080 0.000 0.701
```

No. 7
A geometry-optimized Fe2Pd2Au structure, computed with GGA-PBE.

Calculated values
Energy above the lowest structure with this stoichiometry   0 meV/atom
M_tot   6.6 μB per formula unit

Geometry as CIF:
```
data_Fe2Pd2Au
_chemical_formula_sum 'Fe4 Pd4 Au2'
_cell_length_a 8.559
_cell_length_b 3.983
_cell_length_c 5.937
_cell_angle_alpha 90.00
_cell_angle_beta 133.08
_cell_angle_gamma 90.00
_symmetry_space_group_name_H-M 'C 1 2/m 1'
_symmetry_Int_Tables_number 12
_symmetry_space_group_name_Hall '-C 2y'
loop_
_atom_site_label
_atom_site_fract_x
_atom_site_fract_y
_atom_site_fract_z
Fe1 0.085 0.000 0.277
Pd1 0.203 0.500 0.119
Au1 0.000 0.500 0.500
```

No. 8
A geometry-optimized Fe6Pd12Au structure, computed with GGA-PBE.

Calculated values
Calculated total energy   -6.188 eV/atom
M_tot   22.5 μB per formula unit

Geometry as CIF:
```
data_Fe6Pd12Au
_chemical_formula_sum 'Fe18 Pd36 Au3'
_cell_length_a 11.9870
_cell_length_b 11.9870
_cell_length_c 6.7298
_cell_angle_alpha 90.00
_cell_angle_beta 90.00
_cell_angle_gamma 120.00
_symmetry_space_group_name_H-M 'R -3'
_symmetry_Int_Tables_number 148
_symmetry_space_group_name_Hall '-R 3'
loop_
_atom_site_label
_atom_site_fract_x
_atom_site_fract_y
_atom_site_fract_z
Fe1 0.0293 0.2771 0.3351
Pd1 0.0075 0.1415 0.6600
Pd2 0.0635 0.5584 0.6727
Au1 0.0000 0.0000 0.0000
```

M_tot of number 8 (Fe6Pd12Au)? 22.5 μB per formula unit

The highest M_tot belongs to which entry? Fe6Pd12Au

What did the seventh record say?
A geometry-optimized Fe2Pd2Au structure, computed with GGA-PBE.

Calculated values
Energy above the lowest structure with this stoichiometry   0 meV/atom
M_tot   6.6 μB per formula unit

Geometry as CIF:
```
data_Fe2Pd2Au
_chemical_formula_sum 'Fe4 Pd4 Au2'
_cell_length_a 8.559
_cell_length_b 3.983
_cell_length_c 5.937
_cell_angle_alpha 90.00
_cell_angle_beta 133.08
_cell_angle_gamma 90.00
_symmetry_space_group_name_H-M 'C 1 2/m 1'
_symmetry_Int_Tables_number 12
_symmetry_space_group_name_Hall '-C 2y'
loop_
_atom_site_label
_atom_site_fract_x
_atom_site_fract_y
_atom_site_fract_z
Fe1 0.085 0.000 0.277
Pd1 0.203 0.500 0.119
Au1 0.000 0.500 0.500
```